# In3IrC

A relaxed structure of In3IrC (GGA-PBE, the Alexandria database).

Summary:
As for the energy above the most stable polymorph in this dataset: 0 meV per atom. Its magnetization is 0.000 μB per atom. The energy relative to the elements comes out at 4.96 eV/f.u.

Cell lengths 4.5425, 4.5425, 4.5425 Å; angles 90.00, 90.00, 90.00 degrees
Fractional coordinates of all 5 atoms:
In  0.0000  0.5000  0.0000
In  0.5000  0.0000  0.0000
In  0.0000  0.0000  0.5000
C  0.0000  0.0000  0.0000
Ir  0.5000  0.5000  0.5000